VASP calculation (GGA-PBE) on a relaxed structure of Hf2ReAu.

Output
ΔE_f = -0.489 eV per atom
Spin magnetization = 0.000 μB per atom
Volume = 18.624 Å³/atom
N(E_F) = 2.0 states/eV/cell

Geometry as extended XYZ:
```
4
Lattice="3.349 0.000 0.000 0.000 3.349 0.000 0.000 0.000 6.644" Properties=species:S:1:pos:R:3 pbc="T T T"
Hf 0.000 0.000 1.559
Hf 0.000 0.000 5.084
Re 1.674 1.674 0.000
Au 1.674 1.674 3.322
```

VASP calculation (GGA-PBE) on a relaxed structure of BaSrMn2.

Output
ΔE_f = 0.885 eV per atom
Offset from the most stable computed form = 0.5020 eV per atom
Spin magnetization = 1.862 μB per atom
Volume = 33.955 Å³/atom
N(E_F) = 15.7 states/eV/cell

Geometry as extended XYZ:
```
12
Lattice="3.951 0.000 0.000 -1.976 3.422 0.000 0.000 0.000 30.138" Properties=species:S:1:pos:R:3 pbc="T T T"
Ba 0.000 0.000 0.000
Ba 0.000 2.281 20.092
Ba 1.976 1.141 10.046
Sr 0.000 0.000 15.069
Sr 0.000 2.281 5.023
Sr 1.976 1.141 25.115
Mn 0.000 0.000 7.484
Mn 0.000 0.000 22.654
Mn 0.000 2.281 12.608
Mn 0.000 2.281 27.576
Mn 1.976 1.141 2.562
Mn 1.976 1.141 17.530
```

VASP calculation (GGA-PBE) on a relaxed structure of Ba2Al3.

Output
ΔE_f = -0.179 eV per atom
Offset from the most stable computed form = 0.0000 eV per atom
Spin magnetization = 0.000 μB per atom
Volume = 31.478 Å³/atom
N(E_F) = 5.8 states/eV/cell

Geometry as extended XYZ:
```
10
Lattice="5.854 -3.681 0.000 5.854 3.681 0.000 -2.862 0.000 7.303" Properties=species:S:1:pos:R:3 pbc="T T T"
Ba 1.596 0.554 1.185
Ba 0.165 -0.554 4.837
Ba 8.681 0.554 2.466
Ba 7.250 -0.554 6.118
Al 5.139 1.481 1.826
Al 3.474 0.862 4.124
Al 3.942 0.862 6.831
Al 4.905 -0.862 0.472
Al 5.373 -0.862 3.179
Al 3.708 -1.481 5.477
```

VASP calculation (GGA-PBE) on a relaxed structure of Co2TcCl.

Output
Offset from the most stable computed form = 0.1146 eV per atom
Spin magnetization = 0.984 μB per atom
Uncorrected formation energy = 410 meV per atom
Volume = 13.475 Å³/atom
N(E_F) = 13.3 states/eV/cell

Geometry as extended XYZ:
```
12
Lattice="2.808 0.000 0.000 -1.404 2.432 0.000 0.000 0.000 23.679" Properties=species:S:1:pos:R:3 pbc="T T T"
Co 0.000 0.000 0.000
Co 0.000 0.000 6.058
Co 0.000 1.621 15.786
Co 0.000 1.621 21.844
Co 1.404 0.811 7.893
Co 1.404 0.811 13.951
Tc 0.000 0.000 11.945
Tc 0.000 1.621 4.052
Tc 1.404 0.811 19.838
Cl 0.000 0.000 17.840
Cl 0.000 1.621 9.947
Cl 1.404 0.811 2.054
```

VASP calculation (GGA-PBE) on a relaxed structure of LaTbPmEu.

Output
ΔE_f = 0.146 eV per atom
Spin magnetization = 2.112 μB per atom
Volume = 35.935 Å³/atom
N(E_F) = 25.1 states/eV/cell

Geometry as extended XYZ:
```
16
Lattice="8.315 0.000 0.000 0.000 8.315 0.000 0.000 0.000 8.315" Properties=species:S:1:pos:R:3 pbc="T T T"
La 0.000 0.000 0.000
La 0.000 4.158 4.158
La 4.158 0.000 4.158
La 4.158 4.158 0.000
Tb 0.000 0.000 4.158
Tb 0.000 4.158 0.000
Tb 4.158 0.000 0.000
Tb 4.158 4.158 4.158
Pm 2.079 2.079 6.236
Pm 2.079 6.236 2.079
Pm 6.236 2.079 2.079
Pm 6.236 6.236 6.236
Eu 2.079 2.079 2.079
Eu 2.079 6.236 6.236
Eu 6.236 2.079 6.236
Eu 6.236 6.236 2.079
```

VASP calculation (GGA-PBE) on a relaxed structure of Na6I2BrO.

Output
Spin magnetization = 0.000 μB per atom
Uncorrected formation energy = -1103 meV per atom
Volume = 29.018 Å³/atom
N(E_F) = 0.9 states/eV/cell

Geometry as extended XYZ:
```
10
Lattice="0.000 5.255 5.255 5.255 0.000 5.255 5.255 5.255 0.000" Properties=species:S:1:pos:R:3 pbc="T T T"
Na 5.255 5.255 2.308
Na 5.255 2.308 5.255
Na 8.202 5.255 5.255
Na 2.308 5.255 5.255
Na 5.255 8.202 5.255
Na 5.255 5.255 8.202
I 2.627 2.627 2.627
I 7.882 7.882 7.882
Br 5.255 5.255 5.255
O 0.000 0.000 0.000
```

VASP calculation (GGA-PBE) on a relaxed structure of BaSc2Ru.

Output
ΔE_f = -0.042 eV per atom
Offset from the most stable computed form = 0.1270 eV per atom
Spin magnetization = 0.000 μB per atom
Volume = 30.121 Å³/atom
N(E_F) = 8.3 states/eV/cell

Geometry as extended XYZ:
```
8
Lattice="7.136 0.000 0.000 0.000 4.116 0.000 -2.379 0.000 8.203" Properties=species:S:1:pos:R:3 pbc="T T T"
Ba 0.000 0.000 0.000
Ba 3.568 2.058 0.000
Sc -0.012 0.000 5.169
Sc 2.367 0.000 2.963
Sc 3.556 2.058 5.169
Sc 5.936 2.058 2.963
Ru 1.177 2.058 4.039
Ru 4.745 0.000 4.039
```

VASP calculation (GGA-PBE) on a relaxed structure of InPb2Br4.

Output
Spin magnetization = 0.000 μB per atom
Uncorrected formation energy = -682 meV per atom
Volume = 35.055 Å³/atom
N(E_F) = 3.3 states/eV/cell

Geometry as extended XYZ:
```
14
Lattice="6.951 0.000 0.000 -1.617 8.899 0.000 -1.680 -4.203 7.934" Properties=species:S:1:pos:R:3 pbc="T T T"
In 0.000 0.000 0.000
In 1.850 5.972 1.651
Pb -0.725 5.334 4.792
Pb 0.083 0.886 4.794
Pb 4.396 2.987 0.825
Pb 3.559 0.887 4.794
Br 0.592 -1.352 2.789
Br 0.062 3.110 2.588
Br 0.102 -1.339 7.001
Br -0.429 3.123 6.800
Br 4.057 0.182 1.868
Br 3.506 -2.098 5.753
Br 3.610 3.872 3.842
Br 3.057 1.590 7.721
```